No. 1
VASP calculation (GGA-PBE) on Li2Ca3Cu4 after structural relaxation.

Values from the calculation:
* DFT formation energy: -0.089 eV/atom
* symmetry: No. 12
* spin magnetization: 0.0 μB per formula unit
* final energy: -27.0 eV for the cell shown

Structure (extended XYZ):
```
9
Lattice="-1.056 -3.459 -2.260 4.110 3.034 -2.541 4.683 -4.830 5.204" Properties=species:S:1:pos:R:3 pbc="T T T"
Ca 2.125 -3.228 -0.076
Ca 0.000 0.000 0.000
Ca 5.612 -2.026 0.479
Li 4.427 -5.022 1.594
Li 3.309 -0.232 -1.192
Cu 1.563 -1.503 -2.453
Cu 6.174 -3.751 2.856
Cu 4.188 -2.436 -2.253
Cu 3.549 -2.818 2.655
```



No. 2
VASP calculation (GGA-PBE) on Sm6Co2NiBr3 after structural relaxation.

Values from the calculation:
* uncorrected formation energy: -0.765 eV/atom
* symmetry: No. 12
* spin magnetization: 0.0 μB per formula unit
* final energy: -62.5 eV for the cell shown

Structure (extended XYZ):
```
12
Lattice="3.978 0.000 0.000 0.000 8.957 -0.372 -1.989 -3.309 9.014" Properties=species:S:1:pos:R:3 pbc="T T T"
Br 0.000 6.361 2.692
Br 1.989 4.478 -0.186
Br 1.989 -0.713 5.951
Co 1.989 3.781 5.777
Co 0.000 1.867 2.866
Sm 0.000 5.614 5.863
Sm 1.989 3.730 3.052
Sm 0.000 1.891 0.188
Sm 1.989 0.034 2.779
Sm 1.989 3.756 8.455
Sm 0.000 1.918 5.590
Ni 1.989 0.000 0.000
```



No. 3
VASP calculation (GGA-PBE) on KNi2Cl after structural relaxation.

Values from the calculation:
* uncorrected formation energy: 0.918 eV/atom
* symmetry: No. 225
* spin magnetization: 0.7 μB per formula unit
* final energy: -10.8 eV for the cell shown
* energy relative to the lowest polymorph listed for this composition: 944 meV per atom

Structure (extended XYZ):
```
4
Lattice="4.375 -1.398 1.033 0.823 -2.435 3.943 1.133 -4.563 -0.245" Properties=species:S:1:pos:R:3 pbc="T T T"
K 3.165 -4.198 2.366
Ni 1.583 -2.099 1.183
Ni 4.748 -6.297 3.549
Cl 0.000 0.000 0.000
```



No. 4
VASP calculation (GGA-PBE) on GeTeW2 after structural relaxation.

Values from the calculation:
* uncorrected formation energy: 0.601 eV/atom
* symmetry: No. 225
* spin magnetization: 0.0 μB per formula unit
* final energy: -31.3 eV for the cell shown
* energy relative to the lowest polymorph listed for this composition: 0 meV per atom

Structure (extended XYZ):
```
4
Lattice="-4.517 -0.616 0.431 -1.968 0.292 4.125 -2.711 3.554 0.997" Properties=species:S:1:pos:R:3 pbc="T T T"
W -6.897 2.422 4.165
W -2.299 0.807 1.388
Ge 0.000 0.000 0.000
Te -4.598 1.615 2.776
```



No. 5
VASP calculation (GGA-PBE) on Ac3Y3Ho2 after structural relaxation.

Values from the calculation:
* DFT formation energy: 0.188 eV/atom
* symmetry: No. 193
* spin magnetization: 0.7 μB per formula unit
* final energy: -78.7 eV for the cell shown

Structure (extended XYZ):
```
16
Lattice="6.792 0.000 0.000 0.000 8.736 5.043 0.000 0.001 10.087" Properties=species:S:1:pos:R:3 pbc="T T T"
Ac 5.094 6.696 3.865
Ac 1.698 2.040 1.178
Ac 5.094 2.040 8.909
Ac 1.698 6.696 6.221
Ac 1.698 0.000 7.731
Ac 5.094 0.000 2.355
Ho 3.396 5.824 10.086
Ho 3.396 2.912 5.043
Ho 0.000 5.824 10.086
Ho 0.000 2.912 5.043
Y 5.094 3.634 2.098
Y 1.698 0.000 4.196
Y 5.094 0.000 5.891
Y 5.094 5.102 7.141
Y 1.698 5.102 2.945
Y 1.698 3.634 7.989
```



No. 6
VASP calculation (GGA-PBE) on Sc4Ni2Pd3 after structural relaxation.

Values from the calculation:
* DFT formation energy: -0.645 eV/atom
* symmetry: No. 12
* spin magnetization: 0.0 μB per formula unit
* final energy: -58.3 eV for the cell shown

Structure (extended XYZ):
```
9
Lattice="4.274 0.000 0.001 2.136 4.187 0.376 -0.002 0.180 8.511" Properties=species:S:1:pos:R:3 pbc="T T T"
Pd 0.000 0.000 0.000
Pd 4.273 2.950 5.007
Pd 2.136 1.417 3.881
Ni 4.273 2.689 2.060
Ni 2.135 1.677 6.827
Sc 2.136 3.986 3.177
Sc 4.272 2.998 7.801
Sc 4.272 0.380 5.711
Sc 2.137 1.369 1.087
```